No. 1
Computed, not measured: a relaxed structure of BaNa2H8Pd at the PBE level of DFT.

## Properties
uncorrected energy = -3.2910 eV/atom

Structure (POSCAR):
```
BaNa2H8Pd
1.0
4.921 0.000 0.000
-2.461 4.262 0.000
0.000 0.000 7.383
Ba Na H Pd
1 2 8 1
Cartesian
0.000 0.000 0.000
0.000 2.841 2.634
2.461 1.421 4.749
0.000 1.326 4.657
-1.313 3.599 4.657
1.148 0.663 2.725
0.000 2.841 0.472
2.461 1.421 6.910
1.313 3.599 4.657
3.773 0.663 2.725
2.461 2.936 2.725
0.000 0.000 3.691
```

***

No. 2
Computed, not measured: a relaxed structure of BaNaH4Pd at the PBE level of DFT.

## Properties
uncorrected energy = -3.4470 eV/atom
density of states at the Fermi level = 3.96 states/eV/cell

Structure (POSCAR):
```
BaNaH4Pd
1.0
2.670 -7.026 0.000
2.670 7.026 0.000
0.000 0.000 5.429
Ba Na H Pd
2 2 8 2
Cartesian
2.670 5.522 4.072
2.670 -5.522 1.357
2.670 1.821 4.072
2.670 -1.821 1.357
1.335 3.513 0.000
1.335 3.513 2.715
2.670 5.405 1.357
2.670 1.779 1.357
1.335 -3.513 0.000
1.335 -3.513 2.715
2.670 -1.779 4.072
2.670 -5.405 4.072
2.670 3.550 1.357
2.670 -3.550 4.072
```

***

no.,density (g/cm3)
1,3.19
2,4.41